# 1
BaAgSeI | PBE-GGA | optimized geometry

Summary:
symmetry: R-3m (166)
volume: 299.1 Å³ per cell
density of states at the Fermi level: 0.0 states/eV per cell
ΔE_f (raw): -1177.0 meV per atom

Cell: 15.6680 15.6680 15.6680 Å, 17.37 17.37 17.37°
Atoms (fractional coordinates):
1 Ba 0.0791 0.0791 0.0791
2 Ba 0.9209 0.9209 0.9209
3 Ag 0.3122 0.3122 0.3122
4 Ag 0.6878 0.6878 0.6878
5 Se 0.3719 0.3719 0.3719
6 Se 0.6281 0.6281 0.6281
7 I 0.2097 0.2097 0.2097
8 I 0.7903 0.7903 0.7903

***

# 2
Li2Pa2O5 | PBE-GGA | optimized geometry

Summary:
symmetry: C2/m (12)
volume: 108.5 Å³ per cell
density of states at the Fermi level: 4.6 states/eV per cell
ΔE_f (raw): -2868.2 meV per atom

Cell: 6.4116 6.4116 4.8198 Å, 108.21 108.21 35.42°
Atoms (fractional coordinates):
1 Li 0.1222 0.1222 0.3974
2 Li 0.8778 0.8778 0.6026
3 Pa 0.3919 0.3919 0.1254
4 Pa 0.6081 0.6081 0.8746
5 O 0.0000 0.0000 0.0000
6 O 0.1991 0.1991 0.8253
7 O 0.4052 0.4052 0.6073
8 O 0.5948 0.5948 0.3927
9 O 0.8009 0.8009 0.1747

***

# 3
K3Ho3AlTe8 | PBE-GGA | optimized geometry

Summary:
symmetry: C2/m (12)
volume: 554.2 Å³ per cell
density of states at the Fermi level: 7.7 states/eV per cell
ΔE_f (raw): -1107.3 meV per atom

Cell: 8.6352 8.6352 9.9192 Å, 115.77 115.77 60.05°
Atoms (fractional coordinates):
1 K 0.0000 0.0000 0.0000
2 K 0.0000 0.5000 0.0000
3 K 0.5000 0.0000 0.0000
4 Ho 0.0000 0.5000 0.5000
5 Ho 0.5000 0.0000 0.5000
6 Ho 0.5000 0.5000 0.5000
7 Al 0.0000 0.0000 0.5000
8 Te 0.2224 0.2224 0.6962
9 Te 0.2221 0.7517 0.6959
10 Te 0.2483 0.7779 0.3041
11 Te 0.2635 0.2635 0.2905
12 Te 0.7365 0.7365 0.7095
13 Te 0.7517 0.2221 0.6959
14 Te 0.7779 0.2483 0.3041
15 Te 0.7776 0.7776 0.3038

***

# 4
KTeAsN2 | PBE-GGA | optimized geometry

Summary:
symmetry: P4/mmm (123)
volume: 161.0 Å³ per cell
energy relative to the lowest polymorph listed for this composition: 4.91 eV per formula unit
density of states at the Fermi level: 3.3 states/eV per cell
ΔE_f (raw): 2177.1 meV per atom

Cell: 4.7468 4.7468 7.1461 Å, 90.00 90.00 90.00°
Atoms (fractional coordinates):
1 K 0.0000 0.0000 0.0000
2 Te 0.0000 0.0000 0.5000
3 As 0.5000 0.5000 0.5000
4 N 0.0000 0.5000 0.0000
5 N 0.5000 0.0000 0.0000

***

# 5
NaRe2TeCl | PBE-GGA | optimized geometry

Summary:
symmetry: P4/mmm (123)
volume: 162.2 Å³ per cell
energy relative to the lowest polymorph listed for this composition: 1.62 eV per formula unit
density of states at the Fermi level: 3.9 states/eV per cell
ΔE_f (raw): 1590.3 meV per atom

Cell: 4.9632 4.9632 6.5853 Å, 90.00 90.00 90.00°
Atoms (fractional coordinates):
1 Na 0.0000 0.0000 0.0000
2 Re 0.0000 0.5000 0.5000
3 Re 0.5000 0.0000 0.5000
4 Te 0.0000 0.0000 0.5000
5 Cl 0.5000 0.5000 0.0000

***

# 6
RbEr2Hf2O7 | PBE-GGA | optimized geometry

Summary:
symmetry: Imm2 (44)
volume: 177.0 Å³ per cell
density of states at the Fermi level: 1.3 states/eV per cell
ΔE_f (raw): -3086.6 meV per atom

Cell: 9.6793 9.6793 9.6793 Å, 154.30 37.47 153.20°
Atoms (fractional coordinates):
1 Rb 0.0000 0.0000 0.0000
2 Er 0.2228 0.4782 0.7445
3 Er 0.7337 0.4782 0.2555
4 Hf 0.3979 0.0069 0.3910
5 Hf 0.6159 0.0069 0.6090
6 O 0.0817 0.4599 0.6218
7 O 0.2487 0.9760 0.2727
8 O 0.3517 0.4774 0.8743
9 O 0.4825 0.9825 0.5000
10 O 0.6031 0.4774 0.1257
11 O 0.7033 0.9760 0.7273
12 O 0.8380 0.4599 0.3782

***

| no. | total magnetization (μB per cell) |
| --- | --- |
| 1 | 0.0 |
| 2 | 1.0 |
| 3 | 0.0 |
| 4 | 6.3 |
| 5 | 4.6 |
| 6 | 0.0 |